A plane-wave DFT calculation with PBE was carried out for a geometry-optimized Er2TeH2S structure.

Unit cell a=3.8262 b=3.8262 c=7.9437 alpha=90.00 beta=90.00 gamma=120.00
Last column: nearest neighbours and their distance in Å.
Positions (direct):
S 0.0000 0.0000 0.5000  6 Er 2.84, 6 H 2.90
Te 0.0000 0.0000 0.0000  6 H 3.04, 6 Er 3.10
H 0.3333 0.6667 0.2625  3 Er 2.21
H 0.6667 0.3333 0.7375  3 Er 2.21
Er 0.6667 0.3333 0.2746  3 H 2.21
Er 0.3333 0.6667 0.7254  3 H 2.21

Properties
* calculated volume: 101 Å³ per cell
* electronic total energy: -30.89 eV per formula unit
* M_tot: 0.00 μB per formula unit

---

A plane-wave DFT calculation with PBE was carried out for a geometry-optimized Er3TlHS structure.

Unit cell a=3.9168 b=8.1757 c=8.5440 alpha=102.09 beta=90.00 gamma=90.00
Last column: nearest neighbours and their distance in Å.
Positions (direct):
Er 0.2500 0.5637 0.8241  3 S 2.71
Er 0.7500 0.1806 0.5403  3 H 2.22-2.24
Er 0.2500 0.1188 0.8748  1 H 2.28
Er 0.2500 0.8194 0.4597  3 H 2.22-2.24
Er 0.7500 0.8812 0.1252  1 H 2.28
Er 0.7500 0.4363 0.1759  3 S 2.71
H 0.7500 0.9171 0.3971  4 Er 2.22-2.28
H 0.2500 0.0829 0.6029  4 Er 2.22-2.28
S 0.2500 0.6567 0.1473  6 Er 2.71-2.72
S 0.7500 0.3433 0.8527  6 Er 2.71-2.72
Tl 0.7500 0.8247 0.7462  7 Er 3.07-3.17, 3 H 3.23-3.30
Tl 0.2500 0.1753 0.2538  7 Er 3.07-3.17, 3 H 3.23-3.30

Properties
* calculated volume: 268 Å³ per cell
* electronic total energy: -28.92 eV per formula unit
* M_tot: 0.00 μB per formula unit

---

A plane-wave DFT calculation with PBE was carried out for a geometry-optimized Er3SbH2 structure.

Unit cell a=3.9316 b=6.0531 c=11.1478 alpha=107.46 beta=100.16 gamma=90.00
Last column: nearest neighbours and their distance in Å.
Positions (direct):
H 0.7080 0.3984 0.4160  4 Er 2.15-2.29
H 0.0585 0.1889 0.1170  4 Er 2.21-2.26
H 0.2920 0.6016 0.5840  4 Er 2.15-2.29
H 0.9415 0.8111 0.8830  4 Er 2.21-2.26
Sb 0.6508 0.8947 0.3015  1 H 2.92, 7 Er 3.00-3.26
Sb 0.3492 0.1053 0.6985  1 H 2.92, 7 Er 3.00-3.26
Er 0.7701 0.7505 0.5401  3 H 2.15-2.27
Er 0.2299 0.2495 0.4599  3 H 2.15-2.27
Er 0.0415 0.8043 0.0830  2 H 2.21-2.24
Er 0.6001 0.3487 0.2002  3 H 2.26-2.29
Er 0.9585 0.1957 0.9170  2 H 2.21-2.24
Er 0.3999 0.6513 0.7998  3 H 2.26-2.29

Properties
* calculated volume: 249 Å³ per cell
* electronic total energy: -28.07 eV per formula unit
* M_tot: 0.01 μB per formula unit

---

A plane-wave DFT calculation with PBE was carried out for a geometry-optimized Er3Sb2H structure.

Unit cell a=6.0878 b=7.7204 c=7.0105 alpha=98.46 beta=115.73 gamma=90.00
Last column: nearest neighbours and their distance in Å.
Positions (direct):
Sb 0.2649 0.4816 0.6733  5 Er 2.95-3.13, 1 Sb 3.13
Sb 0.7351 0.5184 0.3267  5 Er 2.95-3.13, 1 Sb 3.13
Sb 0.5916 0.0184 0.3267  5 Er 2.95-3.13, 1 Sb 3.13
Sb 0.4084 0.9816 0.6733  5 Er 2.95-3.13, 1 Sb 3.13
H 0.9794 0.7500 0.0000  3 Er 2.11-2.22
H 0.0206 0.2500 0.0000  3 Er 2.11-2.22
Er 0.7487 0.3309 0.6984  1 H 2.22
Er 0.9497 0.8309 0.6984  1 H 2.22
Er 0.6336 0.7500 0.0000  1 H 2.11
Er 0.0503 0.1691 0.3016  1 H 2.22
Er 0.3664 0.2500 0.0000  1 H 2.11
Er 0.2513 0.6691 0.3016  1 H 2.22

Properties
* calculated volume: 293 Å³ per cell
* electronic total energy: -29.44 eV per formula unit
* M_tot: 0.00 μB per formula unit

---

A plane-wave DFT calculation with PBE was carried out for a geometry-optimized Er3SbH3 structure.

Unit cell a=6.1323 b=6.1323 c=6.1323 alpha=90.00 beta=90.00 gamma=90.00
Last column: nearest neighbours and their distance in Å.
Positions (direct):
Er 0.5000 0.0000 0.2500  4 H 2.17
Er 0.7500 0.5000 0.0000  4 H 2.17
Er 0.2500 0.5000 0.0000  4 H 2.17
Er 0.5000 0.0000 0.7500  4 H 2.17
Er 0.0000 0.7500 0.5000  4 H 2.17
Er 0.0000 0.2500 0.5000  4 H 2.17
H 0.5000 0.7500 0.0000  4 Er 2.17
H 0.0000 0.5000 0.7500  4 Er 2.17
H 0.5000 0.2500 0.0000  4 Er 2.17
H 0.7500 0.0000 0.5000  4 Er 2.17
H 0.0000 0.5000 0.2500  4 Er 2.17
H 0.2500 0.0000 0.5000  4 Er 2.17
Sb 0.0000 0.0000 0.0000  12 H 3.43, 12 Er 3.43
Sb 0.5000 0.5000 0.5000  12 H 3.43, 12 Er 3.43

Properties
* calculated volume: 231 Å³ per cell
* electronic total energy: -32.19 eV per formula unit
* M_tot: 0.00 μB per formula unit

---

A plane-wave DFT calculation with PBE was carried out for a geometry-optimized Er2Sb2H3 structure.

Unit cell a=3.5254 b=6.0755 c=7.0505 alpha=122.00 beta=90.00 gamma=106.87
Last column: nearest neighbours and their distance in Å.
Positions (direct):
H 0.6703 0.3405 0.4267  3 Er 2.10-2.11, 2 H 2.34
H 0.3297 0.6595 0.5733  3 Er 2.10-2.11, 2 H 2.34
H 0.5000 0.0000 0.0000  4 Er 2.40, 2 H 2.52
Er 0.8514 0.7027 0.7552  3 H 2.10-2.11
Er 0.1486 0.2973 0.2448  3 H 2.10-2.11
Sb 0.1298 0.2597 0.7615  4 Er 3.14-3.29, 7 H 3.18-3.45, 3 Sb 3.22-3.44
Sb 0.8702 0.7403 0.2385  4 Er 3.14-3.29, 7 H 3.18-3.45, 3 Sb 3.22-3.44

Properties
* calculated volume: 120 Å³ per cell
* electronic total energy: -31.34 eV per formula unit
* M_tot: 0.00 μB per formula unit

---

A plane-wave DFT calculation with PBE was carried out for a geometry-optimized Er3SbH structure.

Unit cell a=4.7317 b=4.7317 c=4.7317 alpha=90.00 beta=90.00 gamma=90.00
Last column: nearest neighbours and their distance in Å.
Positions (direct):
Er 0.0000 0.5000 0.0000  2 H 2.37
Er 0.0000 0.0000 0.5000  2 H 2.37
Er 0.5000 0.0000 0.0000  2 H 2.37
H 0.0000 0.0000 0.0000  6 Er 2.37
Sb 0.5000 0.5000 0.5000  12 Er 3.35

Properties
* calculated volume: 106 Å³ per cell
* polymorph energy (0 for the lowest one): 41 meV/atom
* M_tot: 0.00 μB per formula unit

---

A plane-wave DFT calculation with PBE was carried out for a geometry-optimized Er4Sb5H structure.

Unit cell a=3.3903 b=8.6571 c=9.5721 alpha=96.80 beta=100.20 gamma=90.00
Last column: nearest neighbours and their distance in Å.
Positions (direct):
Er 0.9882 0.1930 0.9764  2 H 2.41
Er 0.0118 0.8070 0.0236  2 H 2.41
Er 0.3314 0.9018 0.6629  5 Sb 3.04-3.12, 1 H 3.19, 2 Er 3.39
Er 0.6686 0.0982 0.3371  5 Sb 3.04-3.12, 1 H 3.19, 2 Er 3.39
H 0.5000 0.0000 0.0000  4 Er 2.41
Sb 0.1718 0.7968 0.3437  4 Er 3.03-3.12, 2 Sb 3.39
Sb 0.8590 0.6156 0.7180  3 Er 3.10-3.14, 4 Sb 3.39-3.40
Sb 0.1410 0.3844 0.2820  3 Er 3.10-3.14, 4 Sb 3.39-3.40
Sb 0.5000 0.5000 0.0000  4 Er 3.14, 6 Sb 3.39-3.40
Sb 0.8282 0.2032 0.6563  4 Er 3.03-3.12, 2 Sb 3.39

Properties
* calculated volume: 274 Å³ per cell
* electronic total energy: -45.79 eV per formula unit
* M_tot: 0.00 μB per formula unit

---

A plane-wave DFT calculation with PBE was carried out for a geometry-optimized Er2SbH3 structure.

Unit cell a=3.8524 b=7.5063 c=7.0577 alpha=113.74 beta=90.00 gamma=104.87
Last column: nearest neighbours and their distance in Å.
Positions (direct):
Er 0.1995 0.3990 0.6793  2 H 2.10-2.24
Er 0.4703 0.9405 0.7305  5 H 2.13-2.27
Er 0.8005 0.6010 0.3207  2 H 2.10-2.24
Er 0.5297 0.0595 0.2695  5 H 2.13-2.27
Sb 0.1332 0.2665 0.0462  7 Er 3.07-3.23, 7 H 3.14-3.40
Sb 0.8668 0.7335 0.9538  7 Er 3.07-3.23, 7 H 3.14-3.40
H 0.6928 0.3856 0.4737  1 H 2.10, 2 Er 2.20-2.24
H 0.3072 0.6144 0.5263  1 H 2.10, 2 Er 2.20-2.24
H 0.4059 0.8119 0.3770  1 H 2.10, 2 Er 2.22-2.27
H 0.0627 0.1253 0.4103  3 Er 2.10-2.13
H 0.9373 0.8747 0.5897  3 Er 2.10-2.13
H 0.5941 0.1881 0.6230  1 H 2.10, 2 Er 2.22-2.27

Properties
* calculated volume: 179 Å³ per cell
* electronic total energy: -27.92 eV per formula unit
* M_tot: 0.00 μB per formula unit

---

A plane-wave DFT calculation with PBE was carried out for a geometry-optimized Er3Sb3H2 structure.

Unit cell a=3.9548 b=6.0334 c=15.0595 alpha=90.00 beta=90.00 gamma=109.13
Last column: nearest neighbours and their distance in Å.
Positions (direct):
Sb 0.0623 0.1246 0.8939  7 Er 3.10-3.42, 4 H 3.12-3.40
Sb 0.3693 0.7387 0.7500  5 Er 3.00-3.20
Sb 0.9377 0.8754 0.3939  7 Er 3.10-3.42, 4 H 3.12-3.40
Sb 0.0623 0.1246 0.6061  7 Er 3.10-3.42, 4 H 3.12-3.40
Sb 0.9377 0.8754 0.1061  7 Er 3.10-3.42, 4 H 3.12-3.40
Sb 0.6307 0.2613 0.2500  5 Er 3.00-3.20
H 0.7706 0.5413 0.5581  3 Er 2.17-2.19
H 0.2294 0.4587 0.0581  3 Er 2.17-2.19
H 0.2294 0.4587 0.4419  3 Er 2.17-2.19
H 0.7706 0.5413 0.9419  3 Er 2.17-2.19
Er 0.6497 0.2993 0.7500  7 Sb 3.10-3.20, 2 H 3.20
Er 0.6464 0.2928 0.4490  3 H 2.17-2.19
Er 0.3536 0.7072 0.5510  3 H 2.17-2.19
Er 0.3503 0.7007 0.2500  7 Sb 3.10-3.20, 2 H 3.20
Er 0.6464 0.2928 0.0510  3 H 2.17-2.19
Er 0.3536 0.7072 0.9490  3 H 2.17-2.19

Properties
* calculated volume: 339 Å³ per cell
* electronic total energy: -38.57 eV per formula unit
* M_tot: 0.00 μB per formula unit

---

Copy entry 2 word for word.
A plane-wave DFT calculation with PBE was carried out for a geometry-optimized Er3TlHS structure.

Unit cell a=3.9168 b=8.1757 c=8.5440 alpha=102.09 beta=90.00 gamma=90.00
Last column: nearest neighbours and their distance in Å.
Positions (direct):
Er 0.2500 0.5637 0.8241  3 S 2.71
Er 0.7500 0.1806 0.5403  3 H 2.22-2.24
Er 0.2500 0.1188 0.8748  1 H 2.28
Er 0.2500 0.8194 0.4597  3 H 2.22-2.24
Er 0.7500 0.8812 0.1252  1 H 2.28
Er 0.7500 0.4363 0.1759  3 S 2.71
H 0.7500 0.9171 0.3971  4 Er 2.22-2.28
H 0.2500 0.0829 0.6029  4 Er 2.22-2.28
S 0.2500 0.6567 0.1473  6 Er 2.71-2.72
S 0.7500 0.3433 0.8527  6 Er 2.71-2.72
Tl 0.7500 0.8247 0.7462  7 Er 3.07-3.17, 3 H 3.23-3.30
Tl 0.2500 0.1753 0.2538  7 Er 3.07-3.17, 3 H 3.23-3.30

Properties
* calculated volume: 268 Å³ per cell
* electronic total energy: -28.92 eV per formula unit
* M_tot: 0.00 μB per formula unit